Entry 1:
K2AcYO4 | PBE-GGA | relaxed

Crystal system   monoclinic
Total moment   0.00 μB/atom

a = 6.394 Å, b = 3.675 Å, c = 6.663 Å
α = 90.00°, β = 108.65°, γ = 90.00°
Atoms (fractional coordinates):
K: 0.000 0.000 0.000
K: 0.500 0.500 0.000
Ac: 0.000 0.500 0.500
Y: 0.500 0.000 0.500
O: 0.252 0.000 0.692
O: 0.286 0.500 0.312
O: 0.714 0.500 0.688
O: 0.748 0.000 0.308

Entry 2:
K4Ac3YO8 | PBE-GGA | relaxed

Crystal system   trigonal
Total moment   0.00 μB/atom

a = 7.693 Å, b = 7.693 Å, c = 7.693 Å
α = 58.76°, β = 58.76°, γ = 58.76°
Atoms (fractional coordinates):
K: 0.000 0.000 0.000
K: 0.000 0.500 0.500
K: 0.500 0.000 0.500
K: 0.500 0.500 0.000
Ac: 0.000 0.000 0.500
Ac: 0.000 0.500 0.000
Ac: 0.500 0.000 0.000
Y: 0.500 0.500 0.500
O: 0.233 0.233 0.233
O: 0.248 0.721 0.721
O: 0.279 0.279 0.752
O: 0.279 0.752 0.279
O: 0.721 0.248 0.721
O: 0.721 0.721 0.248
O: 0.752 0.279 0.279
O: 0.767 0.767 0.767

Entry 3:
KAc2ZnO4 | PBE-GGA | relaxed

Crystal system   orthorhombic
Total moment   0.00 μB/atom

a = 6.854 Å, b = 6.854 Å, c = 12.661 Å
α = 90.00°, β = 90.00°, γ = 146.99°
Atoms (fractional coordinates):
K: 0.096 0.904 0.750
K: 0.904 0.096 0.250
Ac: 0.370 0.630 0.553
Ac: 0.370 0.630 0.947
Ac: 0.630 0.370 0.053
Ac: 0.630 0.370 0.447
Zn: 0.185 0.815 0.250
Zn: 0.815 0.185 0.750
O: 0.000 0.000 0.000
O: 0.000 0.000 0.500
O: 0.251 0.749 0.100
O: 0.251 0.749 0.400
O: 0.383 0.617 0.750
O: 0.617 0.383 0.250
O: 0.749 0.251 0.600
O: 0.749 0.251 0.900

Entry 4:
KAcZnO3 | PBE-GGA | relaxed

Crystal system   monoclinic
Total moment   0.00 μB/atom

a = 7.776 Å, b = 3.820 Å, c = 8.537 Å
α = 90.00°, β = 100.03°, γ = 90.00°
Atoms (fractional coordinates):
K: 0.157 0.250 0.165
K: 0.843 0.750 0.835
Ac: 0.357 0.750 0.830
Ac: 0.643 0.250 0.170
Zn: 0.064 0.250 0.612
Zn: 0.936 0.750 0.388
O: 0.137 0.250 0.840
O: 0.151 0.750 0.548
O: 0.432 0.750 0.122
O: 0.568 0.250 0.878
O: 0.849 0.250 0.452
O: 0.863 0.750 0.160

| no. | raw formation energy (eV per atom) |
| --- | --- |
| 1 | -2.620 |
| 2 | -2.584 |
| 3 | -2.264 |
| 4 | -2.125 |